Entry 1:
Here is a relaxed KYSb3 crystal from the Alexandria database. Energies are from PBE.

As for the offset from the most stable computed form: 0.000 eV per atom. Its total DFT energy (no corrections) is -20.7 eV per cell. The calculation puts the theoretical density at 4.1 g/cm³. The density of states at the Fermi level is 4.5 states/eV per cell.

The space group is Pm-3m (No. 221) and the conventional cell measures 5.8583, 5.8583 and 5.8583 Å, with angles of 90.00, 90.00 and 90.00 degrees. The inequivalent atoms are K at (0.0000, 0.0000, 0.0000), Y at (0.5000, 0.5000, 0.5000) and Sb at (0.0000, 0.5000, 0.5000).

***

Entry 2:
Here is a relaxed KYSb3 crystal from the Alexandria database. Energies are from PBE.

As for the offset from the most stable computed form: 0.975 eV per atom. Its total DFT energy (no corrections) is -15.8 eV per cell. The calculation puts the theoretical density at 4.6 g/cm³. The density of states at the Fermi level is 5.4 states/eV per cell.

The space group is Pm-3m (No. 221) and the conventional cell measures 5.6179, 5.6179 and 5.6179 Å, with angles of 90.00, 90.00 and 90.00 degrees. The inequivalent atoms are K at (0.0000, 0.0000, 0.0000), Y at (0.5000, 0.5000, 0.5000) and Sb at (0.0000, 0.0000, 0.5000).

***

Entry 3:
Here is a relaxed KY2Sb crystal from the Alexandria database. Energies are from PBE.

Its total DFT energy (no corrections) is -38.0 eV per cell. The calculation puts the theoretical density at 3.9 g/cm³. The density of states at the Fermi level is 10.7 states/eV per cell.

The space group is C2/m (No. 12) and the conventional cell measures 13.4342, 3.9972 and 5.9774 Å, with angles of 90.00, 116.33 and 90.00 degrees. The inequivalent atoms are K at (0.0000, 0.0000, 0.0000), Y at (0.1927, 0.0000, 0.6927) and Sb at (0.0000, 0.5000, 0.5000).